Na2BeFeO4 | PBE with a Hubbard U | optimized geometry

Final energy: -5.478 eV per atom

Structure (POSCAR):
```
Na2BeFeO4
1.0
5.915 0.000 0.000
0.000 5.915 0.000
0.000 0.000 5.043
Na Be Fe O
4 2 2 8
Direct
0.000 0.500 0.000
0.000 0.500 0.500
0.500 0.000 0.000
0.500 0.000 0.500
0.000 0.000 0.000
0.500 0.500 0.500
0.000 0.000 0.500
0.500 0.500 0.000
0.148 0.148 0.776
0.148 0.852 0.224
0.352 0.352 0.276
0.352 0.648 0.724
0.648 0.352 0.724
0.648 0.648 0.276
0.852 0.148 0.224
0.852 0.852 0.776
```